[1]
Entry from Alexandria via LeMat-Bulk: crystalline Pr6Te3PPt2 at its relaxed geometry (PBE-GGA).

a = 7.489 Å, b = 7.489 Å, c = 7.882 Å
α = 99.14°, β = 99.14°, γ = 120.12°
Positions (direct):
1 Pr 0.072 0.404 0.217
2 Pr 0.260 0.260 0.781
3 Pr 0.404 0.072 0.217
4 Pr 0.596 0.928 0.783
5 Pr 0.740 0.740 0.219
6 Pr 0.928 0.596 0.783
7 Te 0.165 0.835 0.500
8 Te 0.500 0.500 0.500
9 Te 0.835 0.165 0.500
10 P 0.000 0.000 0.000
11 Pt 0.333 0.667 0.000
12 Pt 0.667 0.333 0.000

Computed properties:
The raw formation energy comes out at -1.3231 eV/atom. Its crystal system is monoclinic.

[2]
Entry from Alexandria via LeMat-Bulk: crystalline AgSbSe4 at its relaxed geometry (PBE-GGA).

a = 5.147 Å, b = 7.837 Å, c = 7.834 Å
α = 90.00°, β = 91.34°, γ = 90.00°
Positions (direct):
1 Ag 0.000 0.248 0.250
2 Ag 0.000 0.752 0.750
3 Sb 0.500 0.249 0.750
4 Sb 0.500 0.751 0.250
5 Se 0.225 0.463 0.464
6 Se 0.225 0.537 0.964
7 Se 0.227 0.038 0.038
8 Se 0.227 0.962 0.538
9 Se 0.773 0.038 0.462
10 Se 0.773 0.962 0.962
11 Se 0.775 0.463 0.036
12 Se 0.775 0.537 0.536

Computed properties:
The raw formation energy comes out at 0.0589 eV/atom. For the polymorph energy (0 for the lowest one), the calculation gives 0.00 eV per formula unit. Its crystal system is monoclinic.

[3]
Entry from Alexandria via LeMat-Bulk: crystalline P5Rh at its relaxed geometry (PBE-GGA).

a = 5.006 Å, b = 5.006 Å, c = 5.006 Å
α = 60.00°, β = 60.00°, γ = 60.00°
Positions (direct):
1 P 0.000 0.000 0.000
2 P 0.112 0.629 0.629
3 P 0.629 0.112 0.629
4 P 0.629 0.629 0.112
5 P 0.629 0.629 0.629
6 Rh 0.250 0.250 0.250

Computed properties:
For the energy relative to the elements, the calculation gives 0.835 eV per atom. For the polymorph energy (0 for the lowest one), the calculation gives 4.63 eV per formula unit. Its crystal system is cubic.

[4]
Entry from Alexandria via LeMat-Bulk: crystalline Ca8Al4Fe at its relaxed geometry (PBE-GGA).

a = 8.390 Å, b = 8.390 Å, c = 8.390 Å
α = 98.77°, β = 98.77°, γ = 134.03°
Positions (direct):
1 Ca 0.000 0.220 0.220
2 Ca 0.000 0.780 0.780
3 Ca 0.201 0.500 0.701
4 Ca 0.220 0.000 0.220
5 Ca 0.500 0.201 0.701
6 Ca 0.500 0.799 0.299
7 Ca 0.780 0.000 0.780
8 Ca 0.799 0.500 0.299
9 Al 0.000 0.000 0.500
10 Al 0.000 0.500 0.000
11 Al 0.500 0.000 0.000
12 Al 0.500 0.500 0.500
13 Fe 0.500 0.500 0.000

Computed properties:
For the energy relative to the elements, the calculation gives 0.125 eV per atom. Its crystal system is tetragonal.

[5]
Entry from Alexandria via LeMat-Bulk: crystalline ScFeTe2 at its relaxed geometry (PBE-GGA).

a = 6.917 Å, b = 6.917 Å, c = 6.917 Å
α = 34.52°, β = 34.52°, γ = 34.52°
Positions (direct):
1 Sc 0.000 0.000 0.000
2 Fe 0.500 0.500 0.500
3 Te 0.243 0.243 0.243
4 Te 0.757 0.757 0.757

Computed properties:
The raw formation energy comes out at -0.4101 eV/atom. Its crystal system is trigonal.

[6]
Entry from Alexandria via LeMat-Bulk: crystalline CeNd2DyCo2 at its relaxed geometry (PBE-GGA).

a = 8.028 Å, b = 8.028 Å, c = 8.028 Å
α = 129.57°, β = 73.38°, γ = 130.46°
Positions (direct):
1 Ce 0.250 0.250 0.000
2 Ce 0.750 0.750 0.000
3 Nd 0.200 0.216 0.415
4 Nd 0.300 0.716 0.016
5 Nd 0.700 0.284 0.984
6 Nd 0.800 0.784 0.585
7 Dy 0.250 0.750 0.500
8 Dy 0.750 0.250 0.500
9 Co 0.092 0.784 0.876
10 Co 0.408 0.284 0.692
11 Co 0.592 0.716 0.308
12 Co 0.908 0.216 0.124

Computed properties:
For the energy relative to the elements, the calculation gives -0.111 eV per atom. Its crystal system is orthorhombic.

[7]
Entry from Alexandria via LeMat-Bulk: crystalline Ac6PrDy4 at its relaxed geometry (PBE-GGA).

a = 10.198 Å, b = 10.198 Å, c = 10.198 Å
α = 139.07°, β = 139.07°, γ = 59.27°
Positions (direct):
1 Ac 0.000 0.500 0.500
2 Ac 0.127 0.127 0.614
3 Ac 0.487 0.873 0.000
4 Ac 0.500 0.000 0.500
5 Ac 0.513 0.513 0.386
6 Ac 0.873 0.487 0.000
7 Pr 0.500 0.500 0.000
8 Dy 0.058 0.712 0.000
9 Dy 0.288 0.288 0.346
10 Dy 0.712 0.058 0.000
11 Dy 0.942 0.942 0.654

Computed properties:
For the energy relative to the elements, the calculation gives 0.324 eV per atom. Its crystal system is tetragonal.

[8]
Entry from Alexandria via LeMat-Bulk: crystalline BHCl2 at its relaxed geometry (PBE-GGA).

a = 4.270 Å, b = 4.270 Å, c = 4.270 Å
α = 60.00°, β = 60.00°, γ = 60.00°
Positions (direct):
1 B 0.000 0.000 0.000
2 H 0.500 0.500 0.500
3 Cl 0.250 0.250 0.250
4 Cl 0.750 0.750 0.750

Computed properties:
For the polymorph energy (0 for the lowest one), the calculation gives 8.12 eV per formula unit. Its crystal system is cubic.

[9]
Entry from Alexandria via LeMat-Bulk: crystalline TaTlOs2 at its relaxed geometry (PBE-GGA).

a = 3.210 Å, b = 3.210 Å, c = 6.733 Å
α = 90.00°, β = 90.00°, γ = 90.00°
Positions (direct):
1 Ta 0.000 0.000 0.000
2 Tl 0.000 0.000 0.500
3 Os 0.500 0.500 0.222
4 Os 0.500 0.500 0.778

Computed properties:
For the energy relative to the elements, the calculation gives 0.281 eV per atom. For the polymorph energy (0 for the lowest one), the calculation gives 0.00 eV per formula unit. Its crystal system is tetragonal.

[10]
Entry from Alexandria via LeMat-Bulk: crystalline Ce4P at its relaxed geometry (PBE-GGA).

a = 5.395 Å, b = 5.395 Å, c = 5.395 Å
α = 90.00°, β = 90.00°, γ = 90.00°
Positions (direct):
1 Ce 0.000 0.000 0.000
2 Ce 0.000 0.500 0.500
3 Ce 0.500 0.000 0.500
4 Ce 0.500 0.500 0.000
5 P 0.500 0.500 0.500

Computed properties:
For the energy relative to the elements, the calculation gives -0.231 eV per atom. Its crystal system is cubic.

[11]
Entry from Alexandria via LeMat-Bulk: crystalline LiPr3Th3Se8 at its relaxed geometry (PBE-GGA).

a = 8.421 Å, b = 8.421 Å, c = 8.421 Å
α = 59.79°, β = 59.79°, γ = 59.79°
Positions (direct):
1 Li 0.000 0.000 0.000
2 Pr 0.000 0.000 0.500
3 Pr 0.000 0.500 0.000
4 Pr 0.500 0.000 0.000
5 Th 0.000 0.500 0.500
6 Th 0.500 0.000 0.500
7 Th 0.500 0.500 0.000
8 Se 0.244 0.244 0.751
9 Se 0.244 0.751 0.244
10 Se 0.249 0.756 0.756
11 Se 0.251 0.251 0.251
12 Se 0.749 0.749 0.749
13 Se 0.751 0.244 0.244
14 Se 0.756 0.249 0.756
15 Se 0.756 0.756 0.249

Computed properties:
The raw formation energy comes out at -1.6948 eV/atom. Its crystal system is trigonal.

[12]
Entry from Alexandria via LeMat-Bulk: crystalline U3C at its relaxed geometry (PBE-GGA).

a = 5.309 Å, b = 5.309 Å, c = 5.309 Å
α = 147.34°, β = 71.01°, γ = 118.92°
Positions (direct):
1 U 0.000 0.000 0.000
2 U 0.411 0.588 0.823
3 U 0.765 0.588 0.177
4 C 0.334 0.834 0.500

Computed properties:
For the energy relative to the elements, the calculation gives 0.217 eV per atom. For the polymorph energy (0 for the lowest one), the calculation gives 0.61 eV per formula unit. Its crystal system is orthorhombic.

Computed total magnetic moment, in the same sequence as the records: 0.0; 0.0; 0.0; 2.6; 3.1; 0.0; 0.0; 0.1; 0.0; 2.2; 0.0; 0.0 μB per formula unit.